Record 1
DFT (meta-GGA SCAN) results for Sr2MnAu at its PBEsol-relaxed geometry.

a = 8.7367 Å, b = 8.7367 Å, c = 8.7367 Å
α = 27.82°, β = 27.82°, γ = 27.82°
Atoms (fractional coordinates):
Sr1 0.2419 0.2419 0.2419
Sr2 0.7581 0.7581 0.7581
Mn1 0.0000 0.0000 0.0000
Au1 0.5000 0.5000 0.5000

Density of states at the Fermi level in states/eV per cell: 3.74
Raw total energy in eV per atom: -33.11

=====

Record 2
DFT (meta-GGA SCAN) results for Sr2MnAu at its PBEsol-relaxed geometry.

a = 3.6461 Å, b = 3.6461 Å, c = 8.7737 Å
α = 90.00°, β = 90.00°, γ = 90.00°
Atoms (fractional coordinates):
Sr1 0.0000 0.0000 0.0000
Sr2 0.5000 0.5000 0.3953
Mn1 0.5000 0.5000 0.7430
Au1 0.0000 0.0000 0.6377

Density of states at the Fermi level in states/eV per cell: 2.79
Raw total energy in eV per atom: -33.27

=====

Record 3
DFT (meta-GGA SCAN) results for Sr2MnAu at its PBEsol-relaxed geometry.

a = 6.4994 Å, b = 6.4994 Å, c = 5.2077 Å
α = 113.54°, β = 113.54°, γ = 34.08°
Atoms (fractional coordinates):
Sr1 0.0000 0.0000 0.0000
Sr2 0.2078 0.2078 0.7069
Mn1 0.7986 0.7986 0.2976
Au1 0.4546 0.4546 0.4551

Density of states at the Fermi level in states/eV per cell: 3.68
Raw total energy in eV per atom: -33.28

=====

Record 4
DFT (meta-GGA SCAN) results for Sr2MnAu at its PBEsol-relaxed geometry.

a = 4.4655 Å, b = 6.2412 Å, c = 6.2412 Å
α = 42.78°, β = 90.00°, γ = 90.00°
Atoms (fractional coordinates):
Sr1 0.0000 0.0000 0.0000
Sr2 0.5000 0.2888 0.2888
Mn1 0.5000 0.5921 0.5921
Au1 0.0000 0.7090 0.7090

Density of states at the Fermi level in states/eV per cell: 3.18
Raw total energy in eV per atom: -33.39

=====

What is the formula in the fourth record? Sr2MnAu